# 1
An optimized crystal structure of Zn2SnHgIr, computed with PBE.

Cell lengths 4.939, 4.939, 5.056 Å; angles 90.00, 90.00, 90.00 degrees
Fractional positions:
Sn: 0.000 0.000 0.500
Zn: 0.500 0.000 0.000
Zn: 0.000 0.500 0.000
Hg: 0.500 0.500 0.500
Ir: 0.000 0.000 0.000

Values from the calculation:
**E_form**: 0.03 eV/atom
**E_tot**: -15.6 eV for the cell shown

***

# 2
An optimized crystal structure of Sr4Hg2Ir, computed with PBE.

Cell lengths 5.760, 5.760, 9.225 Å; angles 108.19, 108.19, 90.00 degrees
Fractional positions:
Ir: 0.000 0.000 0.000
Sr: 0.823 0.823 0.646
Sr: 0.500 0.000 0.000
Sr: 0.177 0.177 0.354
Sr: 0.000 0.500 0.000
Hg: 0.379 0.379 0.757
Hg: 0.621 0.621 0.243

Values from the calculation:
**E_form**: -0.26 eV/atom
**E_tot**: -18.0 eV for the cell shown

***

# 3
An optimized crystal structure of Sr4HgIr, computed with PBE.

Cell lengths 6.872, 8.803, 8.803 Å; angles 111.32, 106.10, 106.10 degrees
Fractional positions:
Ir: 0.250 0.000 0.000
Ir: 0.750 0.000 0.000
Sr: 0.079 0.945 0.280
Sr: 0.802 0.653 0.782
Sr: 0.302 0.782 0.653
Sr: 0.198 0.347 0.218
Sr: 0.421 0.720 0.055
Sr: 0.579 0.280 0.945
Sr: 0.921 0.055 0.720
Sr: 0.698 0.218 0.347
Hg: 0.750 0.634 0.366
Hg: 0.250 0.366 0.634

Values from the calculation:
**E_form**: -0.30 eV/atom
**Energy above the lowest structure with this stoichiometry**: 0.000 eV/atom
**E_tot**: -35.4 eV for the cell shown

***

# 4
An optimized crystal structure of Sr6Hg2Ir, computed with PBE.

Cell lengths 7.467, 8.650, 11.127 Å; angles 90.00, 89.92, 90.00 degrees
Fractional positions:
Hg: 0.946 0.387 0.257
Hg: 0.554 0.887 0.243
Hg: 0.446 0.113 0.757
Hg: 0.054 0.613 0.743
Sr: 0.629 0.469 0.754
Sr: 0.173 0.333 0.940
Sr: 0.155 0.304 0.559
Sr: 0.845 0.696 0.441
Sr: 0.345 0.804 0.941
Sr: 0.655 0.196 0.059
Sr: 0.327 0.833 0.560
Sr: 0.371 0.531 0.246
Sr: 0.871 0.969 0.746
Sr: 0.673 0.167 0.440
Sr: 0.129 0.031 0.254
Sr: 0.827 0.667 0.060
Ir: 0.000 0.000 0.500
Ir: 0.500 0.500 0.000

Values from the calculation:
**E_form**: -0.33 eV/atom
**E_tot**: -45.1 eV for the cell shown

***

# 5
An optimized crystal structure of Sr5Hg2Ir, computed with PBE.

Cell lengths 7.482, 8.604, 10.097 Å; angles 97.34, 111.75, 90.00 degrees
Fractional positions:
Sr: 0.300 0.804 0.441
Sr: 0.914 0.250 0.000
Sr: 0.724 0.931 0.202
Sr: 0.140 0.304 0.441
Sr: 0.276 0.069 0.798
Sr: 0.860 0.696 0.559
Sr: 0.086 0.750 0.000
Sr: 0.700 0.196 0.559
Sr: 0.523 0.569 0.798
Sr: 0.477 0.431 0.202
Ir: 0.000 0.000 0.500
Ir: 0.500 0.500 0.500
Hg: 0.700 0.927 0.797
Hg: 0.903 0.573 0.203
Hg: 0.300 0.073 0.203
Hg: 0.097 0.427 0.797

Values from the calculation:
**E_form**: -0.32 eV/atom
**E_tot**: -40.8 eV for the cell shown

***

# 6
An optimized crystal structure of Sr3HgIr, computed with PBE.

Cell lengths 5.794, 5.794, 5.794 Å; angles 90.00, 90.00, 90.00 degrees
Fractional positions:
Hg: 0.500 0.500 0.500
Sr: 0.000 0.500 0.000
Sr: 0.500 0.000 0.000
Sr: 0.000 0.000 0.500
Ir: 0.000 0.000 0.000

Values from the calculation:
**E_form**: -0.20 eV/atom
**Energy above the lowest structure with this stoichiometry**: 0.084 eV/atom
**E_tot**: -15.2 eV for the cell shown

***

# 7
An optimized crystal structure of SrHg3Ir, computed with PBE.

Cell lengths 6.246, 6.246, 6.246 Å; angles 90.00, 90.00, 90.00 degrees
Each line ends with the local moment (μB).
Fractional positions:
Sr: 0.000 0.000 0.000  -0.02
Hg: 0.000 0.500 0.000  -0.01
Hg: 0.000 0.000 0.500  -0.01
Hg: 0.500 0.000 0.000  -0.01
Ir: 0.500 0.500 0.500  1.96

Values from the calculation:
**E_form**: 1.26 eV/atom
**Energy above the lowest structure with this stoichiometry**: 1.347 eV/atom
**E_tot**: -5.1 eV for the cell shown

***

# 8
An optimized crystal structure of Sr8Hg2Ir, computed with PBE.

Cell lengths 7.237, 8.612, 8.612 Å; angles 72.61, 75.19, 75.19 degrees
Fractional positions:
Ir: 0.000 0.000 0.000
Sr: 0.795 0.413 0.413
Sr: 0.205 0.587 0.587
Sr: 0.757 0.335 0.943
Sr: 0.252 0.127 0.127
Sr: 0.243 0.057 0.665
Sr: 0.757 0.943 0.335
Sr: 0.748 0.873 0.873
Sr: 0.243 0.665 0.057
Hg: 0.592 0.673 0.673
Hg: 0.408 0.327 0.327

Values from the calculation:
**E_form**: -0.26 eV/atom
**Energy above the lowest structure with this stoichiometry**: 0.000 eV/atom
**E_tot**: -25.7 eV for the cell shown

***

# 9
An optimized crystal structure of Sr3HgIr, computed with PBE.

Cell lengths 7.715, 9.279, 9.686 Å; angles 100.72, 90.00, 90.00 degrees
Fractional positions:
Sr: 0.014 0.796 0.460
Sr: 0.187 0.039 0.165
Sr: 0.687 0.461 0.835
Sr: 0.813 0.961 0.835
Sr: 0.350 0.070 0.763
Sr: 0.486 0.296 0.460
Sr: 0.514 0.704 0.540
Sr: 0.650 0.930 0.237
Sr: 0.986 0.204 0.540
Sr: 0.313 0.539 0.165
Sr: 0.150 0.570 0.763
Sr: 0.850 0.430 0.237
Ir: 0.844 0.512 0.554
Ir: 0.344 0.988 0.446
Ir: 0.156 0.488 0.446
Ir: 0.656 0.012 0.554
Hg: 0.953 0.713 0.067
Hg: 0.047 0.287 0.933
Hg: 0.453 0.787 0.933
Hg: 0.547 0.213 0.067

Values from the calculation:
**E_form**: -0.29 eV/atom
**Energy above the lowest structure with this stoichiometry**: 0.000 eV/atom
**E_tot**: -62.5 eV for the cell shown

***

# 10
An optimized crystal structure of Sr4HgIr, computed with PBE.

Cell lengths 6.540, 6.540, 6.540 Å; angles 60.00, 60.00, 60.00 degrees
Fractional positions:
Sr: 0.878 0.374 0.374
Sr: 0.374 0.374 0.374
Sr: 0.374 0.374 0.878
Sr: 0.374 0.878 0.374
Ir: 0.000 0.000 0.000
Hg: 0.750 0.750 0.750

Values from the calculation:
**E_form**: 0.80 eV/atom
**Energy above the lowest structure with this stoichiometry**: 1.094 eV/atom
**E_tot**: -11.1 eV for the cell shown

***

# 11
An optimized crystal structure of Sr5HgIr, computed with PBE.

Cell lengths 7.471, 7.471, 9.936 Å; angles 91.84, 91.84, 83.87 degrees
Fractional positions:
Sr: 0.391 0.284 0.500
Sr: 0.368 0.922 0.181
Sr: 0.922 0.368 0.681
Sr: 0.716 0.609 0.000
Sr: 0.632 0.078 0.819
Sr: 0.609 0.716 0.500
Sr: 0.078 0.632 0.319
Sr: 0.783 0.217 0.250
Sr: 0.217 0.783 0.750
Sr: 0.284 0.391 0.000
Ir: 0.474 0.526 0.250
Ir: 0.526 0.474 0.750
Hg: 0.000 0.000 0.500
Hg: 0.000 0.000 0.000

Values from the calculation:
**E_form**: -0.18 eV/atom
**E_tot**: -37.7 eV for the cell shown

***

# 12
An optimized crystal structure of Sr6HgIr2, computed with PBE.

Cell lengths 7.280, 7.597, 7.597 Å; angles 120.00, 90.00, 90.00 degrees
Fractional positions:
Sr: 0.725 0.644 0.644
Sr: 0.275 0.356 0.356
Sr: 0.725 0.356 0.000
Sr: 0.275 0.000 0.644
Sr: 0.275 0.644 0.000
Sr: 0.725 0.000 0.356
Ir: 0.500 0.333 0.667
Ir: 0.500 0.667 0.333
Hg: 0.000 0.000 0.000

Values from the calculation:
**E_form**: -0.20 eV/atom
**E_tot**: -29.9 eV for the cell shown

***

What is the formula in the tenth record?
Sr4HgIr

***

What is the E_form in the third record?
-0.30 eV/atom